Entry 1:
DFT (PBE) results for a relaxed structure of Ba3Tl3In2.

Results
Total magnetization in Bohr magnetons per cell: 0.0
Formation energy from the elements in meV per atom: -423
Density of states at the Fermi level in states/eV per cell: 8.718

a = 6.868 Å, b = 6.868 Å, c = 17.570 Å
α = 90.00°, β = 90.00°, γ = 135.09°
Fractional positions:
Ba 0.088 0.912 0.606
Ba 0.088 0.912 0.894
Ba 0.366 0.634 0.750
Ba 0.634 0.366 0.250
Ba 0.912 0.088 0.106
Ba 0.912 0.088 0.394
Tl 0.346 0.654 0.250
Tl 0.376 0.624 0.533
Tl 0.376 0.624 0.967
Tl 0.624 0.376 0.033
Tl 0.624 0.376 0.467
Tl 0.654 0.346 0.750
In 0.208 0.792 0.103
In 0.208 0.792 0.397
In 0.792 0.208 0.603
In 0.792 0.208 0.897

---

Entry 2:
DFT (PBE) results for a relaxed structure of Ba2TlIn7.

Results
Total magnetization in Bohr magnetons per cell: 0.0
Formation energy from the elements in meV per atom: -333
Density of states at the Fermi level in states/eV per cell: 3.989

a = 5.162 Å, b = 5.162 Å, c = 11.944 Å
α = 90.00°, β = 90.00°, γ = 90.00°
Fractional positions:
Ba 0.000 0.500 0.248
Ba 0.500 0.000 0.752
Tl 0.000 0.000 0.500
In 0.000 0.000 0.000
In 0.000 0.500 0.632
In 0.000 0.500 0.871
In 0.500 0.000 0.129
In 0.500 0.000 0.368
In 0.500 0.500 0.000
In 0.500 0.500 0.500

---

Entry 3:
DFT (PBE) results for a relaxed structure of Ba2TlIn.

Results
Total magnetization in Bohr magnetons per cell: 0.0
Formation energy from the elements in meV per atom: -169
Density of states at the Fermi level in states/eV per cell: 3.316

a = 6.001 Å, b = 6.001 Å, c = 6.001 Å
α = 60.00°, β = 60.00°, γ = 60.00°
Fractional positions:
Ba 0.000 0.000 0.000
Ba 0.250 0.250 0.250
Tl 0.750 0.750 0.750
In 0.500 0.500 0.500